Compound: Lu2SiN
Source: Alexandria via LeMat-Bulk
Functional: PBE
Structure: optimized geometry

Cell: 7.105 7.105 7.105 Å, 27.92 27.92 27.92°
Element x y z (fractional)
Lu  0.231  0.231  0.231
Lu  0.769  0.769  0.769
Si  0.000  0.000  0.000
N  0.500  0.500  0.500

Summary:
- E_form (uncorrected): -1.14 eV per atom

***

Compound: Nd12Y17
Source: Alexandria via LeMat-Bulk
Functional: PBE
Structure: optimized geometry

Cell: 10.823 10.823 10.823 Å, 109.47 109.47 109.47°
Element x y z (fractional)
Nd  0.000  0.627  0.809
Nd  0.000  0.809  0.627
Nd  0.182  0.373  0.373
Nd  0.191  0.191  0.818
Nd  0.191  0.818  0.191
Nd  0.373  0.182  0.373
Nd  0.373  0.373  0.182
Nd  0.627  0.000  0.809
Nd  0.627  0.809  0.000
Nd  0.809  0.000  0.627
Nd  0.809  0.627  0.000
Nd  0.818  0.191  0.191
Y  0.000  0.000  0.000
Y  0.000  0.000  0.348
Y  0.000  0.313  0.590
Y  0.000  0.348  0.000
Y  0.000  0.590  0.313
Y  0.277  0.687  0.687
Y  0.313  0.000  0.590
Y  0.313  0.590  0.000
Y  0.348  0.000  0.000
Y  0.410  0.410  0.723
Y  0.410  0.723  0.410
Y  0.590  0.000  0.313
Y  0.590  0.313  0.000
Y  0.652  0.652  0.652
Y  0.687  0.277  0.687
Y  0.687  0.687  0.277
Y  0.723  0.410  0.410

Summary:
- Calculated formation energy: 0.163 eV/atom

***

Compound: Ac2CeSmTe5
Source: Alexandria via LeMat-Bulk
Functional: PBE
Structure: optimized geometry

Cell: 5.611 5.611 11.966 Å, 90.00 90.00 90.00°
Element x y z (fractional)
Ac  0.000  0.000  0.188
Ac  0.000  0.000  0.812
Ce  0.500  0.500  0.500
Sm  0.500  0.500  0.000
Te  0.000  0.000  0.500
Te  0.000  0.500  0.000
Te  0.500  0.000  0.000
Te  0.500  0.500  0.252
Te  0.500  0.500  0.748

Summary:
- E_form (uncorrected): -0.96 eV per atom

***

no.,D(E_F) (states/eV/cell)
1,0.848
2,58.914
3,14.486